#1
Below is OsINF2 after structural relaxation, with properties calculated at the PBE-GGA level. Values from VASP.

```
&SYSTEM
  ibrav = 0, nat = 5, ntyp = 4
/
ATOMIC_SPECIES
Os 190.23 Os.upf
I 126.90 I.upf
N 14.01 N.upf
F 19.00 F.upf
ATOMIC_POSITIONS crystal
Os 0.000 0.000 0.000
I 0.500 0.500 0.500
N 0.000 0.000 0.500
F 0.000 0.500 0.000
F 0.500 0.000 0.000
CELL_PARAMETERS angstrom
4.420 0.000 0.000
0.000 4.420 0.000
0.000 0.000 3.795
```

Magnetic moment = 0.00 μB per atom

=====

#2
Below is OsINF2 after structural relaxation, with properties calculated at the PBE-GGA level. Values from VASP.

```
&SYSTEM
  ibrav = 0, nat = 5, ntyp = 4
/
ATOMIC_SPECIES
Os 190.23 Os.upf
I 126.90 I.upf
N 14.01 N.upf
F 19.00 F.upf
ATOMIC_POSITIONS crystal
Os 0.000 0.000 0.000
I 0.500 0.500 0.500
N 0.500 0.500 0.000
F 0.000 0.500 0.500
F 0.500 0.000 0.500
CELL_PARAMETERS angstrom
4.845 0.000 0.000
0.000 4.845 0.000
0.000 0.000 4.005
```

Magnetic moment = 0.97 μB per atom

=====

Sorted by energy, starting with the most stable: #1, #2.

=====

#1
Below is PINF2 after structural relaxation, with properties calculated at the PBE-GGA level. Values from VASP.

```
&SYSTEM
  ibrav = 0, nat = 5, ntyp = 4
/
ATOMIC_SPECIES
P 30.97 P.upf
I 126.90 I.upf
N 14.01 N.upf
F 19.00 F.upf
ATOMIC_POSITIONS crystal
P 0.000 0.000 0.000
I 0.500 0.500 0.500
N 0.000 0.000 0.500
F 0.000 0.500 0.000
F 0.500 0.000 0.000
CELL_PARAMETERS angstrom
3.842 0.000 0.000
0.000 3.842 0.000
0.000 0.000 5.002
```

Magnetic moment = 0.00 μB per atom

=====

#2
Below is PINF2 after structural relaxation, with properties calculated at the PBE-GGA level. Values from VASP.

```
&SYSTEM
  ibrav = 0, nat = 5, ntyp = 4
/
ATOMIC_SPECIES
P 30.97 P.upf
I 126.90 I.upf
N 14.01 N.upf
F 19.00 F.upf
ATOMIC_POSITIONS crystal
P 0.000 0.000 0.000
I 0.500 0.500 0.500
N 0.500 0.500 0.000
F 0.000 0.500 0.500
F 0.500 0.000 0.500
CELL_PARAMETERS angstrom
4.734 0.000 0.000
0.000 4.734 0.000
0.000 0.000 4.033
```

Magnetic moment = 0.48 μB per atom

=====

Sorted by energy, starting with the most stable: #1, #2.

=====

#1
Below is PbINF2 after structural relaxation, with properties calculated at the PBE-GGA level. Values from VASP.

```
&SYSTEM
  ibrav = 0, nat = 5, ntyp = 4
/
ATOMIC_SPECIES
Pb 207.20 Pb.upf
I 126.90 I.upf
N 14.01 N.upf
F 19.00 F.upf
ATOMIC_POSITIONS crystal
Pb 0.000 0.000 0.000
I 0.500 0.500 0.500
N 0.000 0.000 0.500
F 0.000 0.500 0.000
F 0.500 0.000 0.000
CELL_PARAMETERS angstrom
4.415 0.000 0.000
0.000 4.415 0.000
0.000 0.000 4.812
```

Magnetic moment = 0.00 μB per atom

=====

#2
Below is PbINF2 after structural relaxation, with properties calculated at the PBE-GGA level. Values from VASP.

```
&SYSTEM
  ibrav = 0, nat = 5, ntyp = 4
/
ATOMIC_SPECIES
Pb 207.20 Pb.upf
I 126.90 I.upf
N 14.01 N.upf
F 19.00 F.upf
ATOMIC_POSITIONS crystal
Pb 0.000 0.000 0.000
I 0.500 0.500 0.500
N 0.500 0.500 0.000
F 0.000 0.500 0.500
F 0.500 0.000 0.500
CELL_PARAMETERS angstrom
4.968 0.000 0.000
0.000 4.968 0.000
0.000 0.000 4.102
```

Magnetic moment = 0.00 μB per atom

=====

Sorted by energy, starting with the most stable: #1, #2.

=====

#1
Below is PbI2NF after structural relaxation, with properties calculated at the PBE-GGA level. Values from VASP.

```
&SYSTEM
  ibrav = 0, nat = 5, ntyp = 4
/
ATOMIC_SPECIES
Pb 207.20 Pb.upf
I 126.90 I.upf
N 14.01 N.upf
F 19.00 F.upf
ATOMIC_POSITIONS crystal
Pb 0.000 0.000 0.000
I 0.000 0.500 0.500
I 0.500 0.000 0.500
N 0.500 0.500 0.000
F 0.500 0.500 0.500
CELL_PARAMETERS angstrom
6.168 0.000 0.000
0.000 6.168 0.000
0.000 0.000 3.853
```

Magnetic moment = 0.49 μB per atom

=====

#2
Below is PbI2NF after structural relaxation, with properties calculated at the PBE-GGA level. Values from VASP.

```
&SYSTEM
  ibrav = 0, nat = 5, ntyp = 4
/
ATOMIC_SPECIES
Pb 207.20 Pb.upf
I 126.90 I.upf
N 14.01 N.upf
F 19.00 F.upf
ATOMIC_POSITIONS crystal
Pb 0.000 0.000 0.000
I 0.000 0.500 0.000
I 0.500 0.000 0.000
N 0.000 0.000 0.500
F 0.500 0.500 0.500
CELL_PARAMETERS angstrom
6.068 0.000 0.000
0.000 6.068 0.000
0.000 0.000 4.643
```

Magnetic moment = 0.39 μB per atom

=====

Sorted by energy, starting with the most stable: #1, #2.

=====

#1
Below is PdINF2 after structural relaxation, with properties calculated at the PBE-GGA level. Values from VASP.

```
&SYSTEM
  ibrav = 0, nat = 5, ntyp = 4
/
ATOMIC_SPECIES
Pd 106.42 Pd.upf
I 126.90 I.upf
N 14.01 N.upf
F 19.00 F.upf
ATOMIC_POSITIONS crystal
Pd 0.000 0.000 0.000
I 0.500 0.500 0.500
N 0.500 0.500 0.000
F 0.000 0.500 0.500
F 0.500 0.000 0.500
CELL_PARAMETERS angstrom
4.668 0.000 0.000
0.000 4.668 0.000
0.000 0.000 4.007
```

Magnetic moment = 0.11 μB per atom

=====

#2
Below is PdINF2 after structural relaxation, with properties calculated at the PBE-GGA level. Values from VASP.

```
&SYSTEM
  ibrav = 0, nat = 5, ntyp = 4
/
ATOMIC_SPECIES
Pd 106.42 Pd.upf
I 126.90 I.upf
N 14.01 N.upf
F 19.00 F.upf
ATOMIC_POSITIONS crystal
Pd 0.000 0.000 0.000
I 0.500 0.500 0.500
N 0.000 0.000 0.500
F 0.000 0.500 0.000
F 0.500 0.000 0.000
CELL_PARAMETERS angstrom
4.376 0.000 0.000
0.000 4.376 0.000
0.000 0.000 3.946
```

Magnetic moment = 0.09 μB per atom

=====

Sorted by energy, starting with the most stable: #2, #1.

=====

#1
Below is PtI2NF after structural relaxation, with properties calculated at the PBE-GGA level. Values from VASP.

```
&SYSTEM
  ibrav = 0, nat = 5, ntyp = 4
/
ATOMIC_SPECIES
Pt 195.08 Pt.upf
I 126.90 I.upf
N 14.01 N.upf
F 19.00 F.upf
ATOMIC_POSITIONS crystal
Pt 0.000 0.000 0.000
I 0.000 0.500 0.000
I 0.500 0.000 0.000
N 0.000 0.000 0.500
F 0.500 0.500 0.500
CELL_PARAMETERS angstrom
5.694 0.000 0.000
0.000 5.694 0.000
0.000 0.000 3.673
```

Magnetic moment = 0.00 μB per atom

=====

#2
Below is PtI2NF after structural relaxation, with properties calculated at the PBE-GGA level. Values from VASP.

```
&SYSTEM
  ibrav = 0, nat = 5, ntyp = 4
/
ATOMIC_SPECIES
Pt 195.08 Pt.upf
I 126.90 I.upf
N 14.01 N.upf
F 19.00 F.upf
ATOMIC_POSITIONS crystal
Pt 0.000 0.000 0.000
I 0.000 0.500 0.500
I 0.500 0.000 0.500
N 0.500 0.500 0.000
F 0.500 0.500 0.500
CELL_PARAMETERS angstrom
5.781 0.000 0.000
0.000 5.781 0.000
0.000 0.000 3.214
```

Magnetic moment = 0.00 μB per atom

=====

Sorted by energy, starting with the most stable: #1, #2.

=====

#1
Below is RbI2NF after structural relaxation, with properties calculated at the PBE-GGA level. Values from VASP.

```
&SYSTEM
  ibrav = 0, nat = 5, ntyp = 4
/
ATOMIC_SPECIES
Rb 85.47 Rb.upf
I 126.90 I.upf
N 14.01 N.upf
F 19.00 F.upf
ATOMIC_POSITIONS crystal
Rb 0.000 0.000 0.000
I 0.000 0.500 0.000
I 0.500 0.000 0.000
N 0.000 0.000 0.500
F 0.500 0.500 0.500
CELL_PARAMETERS angstrom
7.010 0.000 0.000
0.000 7.010 0.000
0.000 0.000 5.967
```

Magnetic moment = 0.20 μB per atom

=====

#2
Below is RbI2NF after structural relaxation, with properties calculated at the PBE-GGA level. Values from VASP.

```
&SYSTEM
  ibrav = 0, nat = 5, ntyp = 4
/
ATOMIC_SPECIES
Rb 85.47 Rb.upf
I 126.90 I.upf
N 14.01 N.upf
F 19.00 F.upf
ATOMIC_POSITIONS crystal
Rb 0.000 0.000 0.000
I 0.000 0.500 0.500
I 0.500 0.000 0.500
N 0.500 0.500 0.000
F 0.500 0.500 0.500
CELL_PARAMETERS angstrom
5.320 0.000 0.000
0.000 5.320 0.000
0.000 0.000 5.575
```

Magnetic moment = 0.59 μB per atom

=====

Sorted by energy, starting with the most stable: #2, #1.

=====

#1
Below is RhIN2F after structural relaxation, with properties calculated at the PBE-GGA level. Values from VASP.

```
&SYSTEM
  ibrav = 0, nat = 5, ntyp = 4
/
ATOMIC_SPECIES
Rh 102.91 Rh.upf
I 126.90 I.upf
N 14.01 N.upf
F 19.00 F.upf
ATOMIC_POSITIONS crystal
Rh 0.000 0.000 0.000
I 0.500 0.500 0.500
N 0.000 0.500 0.500
N 0.500 0.000 0.500
F 0.500 0.500 0.000
CELL_PARAMETERS angstrom
4.143 0.000 0.000
0.000 4.143 0.000
0.000 0.000 4.328
```

Magnetic moment = 0.53 μB per atom

=====

#2
Below is RhIN2F after structural relaxation, with properties calculated at the PBE-GGA level. Values from VASP.

```
&SYSTEM
  ibrav = 0, nat = 5, ntyp = 4
/
ATOMIC_SPECIES
Rh 102.91 Rh.upf
I 126.90 I.upf
N 14.01 N.upf
F 19.00 F.upf
ATOMIC_POSITIONS crystal
Rh 0.000 0.000 0.000
I 0.500 0.500 0.500
N 0.000 0.500 0.000
N 0.500 0.000 0.000
F 0.000 0.000 0.500
CELL_PARAMETERS angstrom
4.026 0.000 0.000
0.000 4.026 0.000
0.000 0.000 4.162
```

Magnetic moment = 0.06 μB per atom

=====

Sorted by energy, starting with the most stable: #2, #1.

=====

#1
Below is RhIN2F after structural relaxation, with properties calculated at the PBE-GGA level. Values from VASP.

```
&SYSTEM
  ibrav = 0, nat = 5, ntyp = 4
/
ATOMIC_SPECIES
Rh 102.91 Rh.upf
I 126.90 I.upf
N 14.01 N.upf
F 19.00 F.upf
ATOMIC_POSITIONS crystal
Rh 0.000 0.000 0.000
I 0.000 0.000 0.500
N 0.000 0.500 0.000
N 0.500 0.000 0.000
F 0.500 0.500 0.500
CELL_PARAMETERS angstrom
3.781 0.000 0.000
0.000 3.781 0.000
0.000 0.000 5.930
```

Magnetic moment = 0.24 μB per atom

=====

#2
Below is RhIN2F after structural relaxation, with properties calculated at the PBE-GGA level. Values from VASP.

```
&SYSTEM
  ibrav = 0, nat = 5, ntyp = 4
/
ATOMIC_SPECIES
Rh 102.91 Rh.upf
I 126.90 I.upf
N 14.01 N.upf
F 19.00 F.upf
ATOMIC_POSITIONS crystal
Rh 0.000 0.000 0.000
I 0.500 0.500 0.000
N 0.000 0.500 0.500
N 0.500 0.000 0.500
F 0.500 0.500 0.500
CELL_PARAMETERS angstrom
3.885 0.000 0.000
0.000 3.885 0.000
0.000 0.000 6.137
```

Magnetic moment = 0.72 μB per atom

=====

Sorted by energy, starting with the most stable: #1, #2.

=====

#1
Below is RhINF2 after structural relaxation, with properties calculated at the PBE-GGA level. Values from VASP.

```
&SYSTEM
  ibrav = 0, nat = 5, ntyp = 4
/
ATOMIC_SPECIES
Rh 102.91 Rh.upf
I 126.90 I.upf
N 14.01 N.upf
F 19.00 F.upf
ATOMIC_POSITIONS crystal
Rh 0.000 0.000 0.000
I 0.500 0.500 0.500
N 0.000 0.000 0.500
F 0.000 0.500 0.000
F 0.500 0.000 0.000
CELL_PARAMETERS angstrom
4.405 0.000 0.000
0.000 4.405 0.000
0.000 0.000 3.811
```

Magnetic moment = 0.08 μB per atom

=====

#2
Below is RhINF2 after structural relaxation, with properties calculated at the PBE-GGA level. Values from VASP.

```
&SYSTEM
  ibrav = 0, nat = 5, ntyp = 4
/
ATOMIC_SPECIES
Rh 102.91 Rh.upf
I 126.90 I.upf
N 14.01 N.upf
F 19.00 F.upf
ATOMIC_POSITIONS crystal
Rh 0.000 0.000 0.000
I 0.500 0.500 0.500
N 0.500 0.500 0.000
F 0.000 0.500 0.500
F 0.500 0.000 0.500
CELL_PARAMETERS angstrom
4.722 0.000 0.000
0.000 4.722 0.000
0.000 0.000 4.036
```

Magnetic moment = 0.37 μB per atom

=====

Sorted by energy, starting with the most stable: #1, #2.

=====

#1
Below is RuI2NF after structural relaxation, with properties calculated at the PBE-GGA level. Values from VASP.

```
&SYSTEM
  ibrav = 0, nat = 5, ntyp = 4
/
ATOMIC_SPECIES
Ru 101.07 Ru.upf
I 126.90 I.upf
N 14.01 N.upf
F 19.00 F.upf
ATOMIC_POSITIONS crystal
Ru 0.000 0.000 0.000
I 0.000 0.500 0.000
I 0.500 0.000 0.000
N 0.000 0.000 0.500
F 0.500 0.500 0.500
CELL_PARAMETERS angstrom
5.482 0.000 0.000
0.000 5.482 0.000
0.000 0.000 3.656
```

Magnetic moment = 0.00 μB per atom

=====

#2
Below is RuI2NF after structural relaxation, with properties calculated at the PBE-GGA level. Values from VASP.

```
&SYSTEM
  ibrav = 0, nat = 5, ntyp = 4
/
ATOMIC_SPECIES
Ru 101.07 Ru.upf
I 126.90 I.upf
N 14.01 N.upf
F 19.00 F.upf
ATOMIC_POSITIONS crystal
Ru 0.000 0.000 0.000
I 0.000 0.500 0.500
I 0.500 0.000 0.500
N 0.500 0.500 0.000
F 0.500 0.500 0.500
CELL_PARAMETERS angstrom
5.701 0.000 0.000
0.000 5.701 0.000
0.000 0.000 3.517
```

Magnetic moment = 1.12 μB per atom

=====

Sorted by energy, starting with the most stable: #1, #2.

=====

#1
Below is ScI2NF after structural relaxation, with properties calculated at the PBE-GGA level. Values from VASP.

```
&SYSTEM
  ibrav = 0, nat = 5, ntyp = 4
/
ATOMIC_SPECIES
Sc 44.96 Sc.upf
I 126.90 I.upf
N 14.01 N.upf
F 19.00 F.upf
ATOMIC_POSITIONS crystal
Sc 0.000 0.000 0.000
I 0.000 0.500 0.500
I 0.500 0.000 0.500
N 0.500 0.500 0.000
F 0.500 0.500 0.500
CELL_PARAMETERS angstrom
5.632 0.000 0.000
0.000 5.632 0.000
0.000 0.000 3.678
```

Magnetic moment = 0.26 μB per atom

=====

#2
Below is ScI2NF after structural relaxation, with properties calculated at the PBE-GGA level. Values from VASP.

```
&SYSTEM
  ibrav = 0, nat = 5, ntyp = 4
/
ATOMIC_SPECIES
Sc 44.96 Sc.upf
I 126.90 I.upf
N 14.01 N.upf
F 19.00 F.upf
ATOMIC_POSITIONS crystal
Sc 0.000 0.000 0.000
I 0.000 0.500 0.000
I 0.500 0.000 0.000
N 0.000 0.000 0.500
F 0.500 0.500 0.500
CELL_PARAMETERS angstrom
5.703 0.000 0.000
0.000 5.703 0.000
0.000 0.000 4.039
```

Magnetic moment = 0.00 μB per atom

=====

Sorted by energy, starting with the most stable: #2, #1.